1.
PBE-GGA Er2InAg, relaxed; space group = Fm-3m (225); E above lowest polymorph = 4 meV per atom; formation enthalpy at 0 K = -0.40 eV per atom
1.0
0.000 3.681 3.681
3.681 0.000 3.681
3.681 3.681 0.000
Er In Ag
2 1 1
direct
0.250 0.250 0.250
0.750 0.750 0.750
0.000 0.000 0.000
0.500 0.500 0.500

---

2.
PBE-GGA PrY2Ho8, relaxed; space group = Immm (71); E above lowest polymorph = 0 meV per atom; formation enthalpy at 0 K = 0.12 eV per atom
1.0
-2.751 4.048 7.978
2.751 -4.048 7.978
2.751 4.048 -7.978
Pr Y Ho
1 2 8
direct
0.000 0.000 0.000
0.300 0.300 0.000
0.700 0.700 0.000
0.155 0.861 0.294
0.164 0.664 0.500
0.295 0.500 0.795
0.433 0.139 0.294
0.567 0.861 0.706
0.705 0.500 0.205
0.836 0.336 0.500
0.845 0.139 0.706

---

3.
PBE-GGA ZrReSe, relaxed; space group = P-6m2 (187); E above lowest polymorph = 0 meV per atom; formation energy (no corrections) = -0.18 eV/atom
1.0
4.365 0.000 0.000
-2.183 3.780 0.000
0.000 0.000 3.230
Zr Re Se
1 1 1
direct
0.000 0.000 0.000
0.333 0.667 0.500
0.667 0.333 0.500

---

4.
PBE-GGA Zr3TlH, relaxed; space group = P2_1/m (11); raw total energy = -6.4150 eV/atom
1.0
3.257 0.000 0.000
0.000 7.414 0.000
-0.006 0.000 7.917
Zr Tl H
6 2 2
direct
0.000 0.250 0.048
0.000 0.750 0.952
0.499 0.046 0.753
0.499 0.454 0.753
0.501 0.546 0.247
0.501 0.954 0.247
0.001 0.250 0.442
0.999 0.750 0.558
0.001 0.750 0.209
0.999 0.250 0.791

---

5.
PBE-GGA Sm8BiRu2, relaxed; space group = C2/m (12); formation enthalpy at 0 K = -0.24 eV per atom
1.0
4.406 -6.705 0.000
4.406 6.705 0.000
-1.335 0.000 5.536
Sm Bi Ru
8 1 2
direct
0.070 0.330 0.577
0.249 0.751 0.000
0.330 0.070 0.577
0.394 0.394 0.206
0.606 0.606 0.794
0.670 0.930 0.423
0.751 0.249 0.000
0.930 0.670 0.423
0.000 0.000 0.000
0.305 0.695 0.500
0.695 0.305 0.500